Material: CsYMgSn2
Method: DFT, GGA-PBE
State: relaxed

Summary:
Raw total energy, eV for the cell shown: -16.10
Relative energy among the computed polymorphs, meV/atom: 0
Formation enthalpy at 0 K, eV/atom: 0.16

a b c (Å): 5.9026 5.9026 6.2633
angles (deg): 90.00 90.00 90.00
Fractional coordinates of all 5 atoms:
Cs: 0.0000 0.0000 0.0000
Y: 0.5000 0.5000 0.5000
Mg: 0.5000 0.5000 0.0000
Sn: 0.0000 0.5000 0.5000
Sn: 0.5000 0.0000 0.5000